Record 1
Density functional theory data (PBE) for PrYPd after structural relaxation.

space-group type: P-1
ΔH_f (0 K): -0.49 eV per atom
calculated density: 6788 kg/m³

abc: 3.614 6.758 7.302
angles: 106.21 90.03 105.47
Positions (direct):
Pr (0.139, 0.277, 0.069)
Pr (0.861, 0.723, 0.931)
Y (0.136, 0.273, 0.567)
Y (0.864, 0.727, 0.433)
Pd (0.496, 0.992, 0.272)
Pd (0.504, 0.008, 0.728)

Record 2
Density functional theory data (PBE) for Pr2YPd after structural relaxation.

space-group type: R-3m
ΔH_f (0 K): -0.03 eV per atom
calculated density: 6093 kg/m³

abc: 11.096 11.096 11.096
angles: 19.27 19.27 19.27
Positions (direct):
Pr (0.106, 0.106, 0.106)
Pr (0.894, 0.894, 0.894)
Y (0.000, 0.000, 0.000)
Pd (0.500, 0.500, 0.500)

Record 3
Density functional theory data (PBE) for PrY2Pd2 after structural relaxation.

space-group type: P2_1/m
ΔH_f (0 K): -0.63 eV per atom
calculated density: 6558 kg/m³

abc: 5.304 4.818 10.595
angles: 90.00 96.22 90.00
Positions (direct):
Pr (0.192, 0.250, 0.229)
Pr (0.808, 0.750, 0.771)
Y (0.248, 0.750, 0.497)
Y (0.331, 0.250, 0.889)
Y (0.669, 0.750, 0.111)
Y (0.752, 0.250, 0.503)
Pd (0.156, 0.750, 0.019)
Pd (0.278, 0.250, 0.626)
Pd (0.722, 0.750, 0.374)
Pd (0.844, 0.250, 0.981)

Record 4
Density functional theory data (PBE) for PrYPd after structural relaxation.

space-group type: P2_1/c
ΔH_f (0 K): -0.44 eV per atom
calculated density: 6503 kg/m³

abc: 6.801 7.136 8.568
angles: 90.00 124.33 90.00
Positions (direct):
Pr (0.244, 0.163, 0.438)
Pr (0.244, 0.337, 0.938)
Pr (0.756, 0.663, 0.062)
Pr (0.756, 0.837, 0.562)
Y (0.251, 0.657, 0.571)
Y (0.251, 0.843, 0.071)
Y (0.749, 0.157, 0.929)
Y (0.749, 0.343, 0.429)
Pd (0.300, 0.527, 0.283)
Pd (0.300, 0.973, 0.783)
Pd (0.700, 0.027, 0.217)
Pd (0.700, 0.473, 0.717)

Record 5
Density functional theory data (PBE) for Pr2YPd after structural relaxation.

space-group type: Cmm2
ΔH_f (0 K): -0.37 eV per atom
calculated density: 6761 kg/m³

abc: 3.642 3.642 8.835
angles: 90.00 90.00 90.16
Positions (direct):
Pr (0.000, 0.000, 0.000)
Pr (0.500, 0.500, 0.307)
Y (0.000, 0.000, 0.611)
Pd (0.500, 0.500, 0.785)

Record 6
Density functional theory data (PBE) for PrYPd2 after structural relaxation.

space-group type: Amm2
ΔH_f (0 K): -0.84 eV per atom
calculated density: 7678 kg/m³

abc: 4.614 5.721 5.721
angles: 39.34 90.00 90.00
Positions (direct):
Pr (0.000, 0.000, 0.000)
Y (0.500, 0.726, 0.726)
Pd (0.000, 0.275, 0.275)
Pd (0.500, 0.445, 0.445)